CsTiNb6Cl18 PBEsol relaxed; total energy = -293.00 eV/cell; crystal system = trigonal; raw formation energy = -1391 meV/atom; space-group type = P-31c (163)
1.0
9.086 0.000 0.000
-4.543 7.869 0.000
0.000 0.000 16.915
Nb Cl Cs Ti
12 36 2 2
Cartesian
-0.492 1.601 7.273
2.910 7.494 1.185
1.633 0.374 15.731
7.453 0.374 9.642
5.035 6.267 9.642
0.492 1.601 1.185
7.945 1.227 15.731
1.141 1.227 9.642
-2.910 7.494 7.273
4.051 6.267 15.731
3.402 6.642 7.273
-3.402 6.642 1.185
5.254 4.529 0.031
-0.711 3.340 16.884
3.248 1.054 8.427
0.711 3.340 8.489
1.973 5.064 5.643
-1.295 6.815 16.884
1.295 6.815 8.489
5.372 0.823 11.272
0.604 1.915 14.155
5.838 1.054 0.031
6.516 2.805 14.101
1.144 3.629 2.815
-2.006 5.583 8.489
-0.604 1.915 11.218
-1.144 3.629 5.643
2.006 5.583 16.884
-1.973 5.064 2.815
5.687 4.240 11.272
5.147 5.953 5.697
6.549 2.286 8.427
3.939 5.953 2.761
1.357 1.481 5.697
-2.582 7.434 11.218
3.832 4.529 8.427
3.186 6.388 11.218
2.537 2.286 0.031
-3.186 6.388 14.155
2.582 7.434 14.155
3.399 4.240 14.101
3.714 0.823 14.101
0.829 7.045 2.815
7.729 1.481 2.761
2.570 2.805 11.272
7.125 0.434 5.697
1.961 0.434 2.761
-0.829 7.045 5.643
4.543 2.623 4.229
0.000 5.246 12.687
4.543 2.623 12.687
0.000 5.246 4.229